Entry from Alexandria: a relaxed structure of CaNbTeN2 (PBE).

Unit cell a=4.3834 b=4.3834 c=5.9788 alpha=90.00 beta=90.00 gamma=90.00
Sites, in units of the cell vectors:
Ca  0.0000  0.0000  0.0000
Nb  0.5000  0.5000  0.5000
Te  0.0000  0.0000  0.5000
N  0.0000  0.5000  0.0000
N  0.5000  0.0000  0.0000

Computed properties:
offset from the most stable computed form: 1754 meV per atom
symmetry: P4/mmm, No. 123
uncorrected formation energy: 713 kJ/mol of formula units
Fermi-level density of states: 0.689 states/eV per atom
size of the total moment: 1.0 μB per cell
ρ: 4172 kg/m³

=====

Entry from Alexandria: a relaxed structure of CaNbTe2N (PBE).

Unit cell a=5.6687 b=5.6687 c=3.9666 alpha=90.00 beta=90.00 gamma=90.00
Sites, in units of the cell vectors:
Ca  0.0000  0.0000  0.0000
Nb  0.5000  0.5000  0.5000
Te  0.0000  0.5000  0.0000
Te  0.5000  0.0000  0.0000
N  0.0000  0.0000  0.5000

Computed properties:
offset from the most stable computed form: 1670 meV per atom
symmetry: P4/mmm, No. 123
uncorrected formation energy: 557 kJ/mol of formula units
Fermi-level density of states: 1.597 states/eV per atom
size of the total moment: 0.0 μB per cell
ρ: 5240 kg/m³

=====

Entry from Alexandria: a relaxed structure of CaNbTeN2 (PBE).

Unit cell a=4.1683 b=4.1683 c=5.7686 alpha=90.00 beta=90.00 gamma=90.00
Sites, in units of the cell vectors:
Ca  0.0000  0.0000  0.0000
Nb  0.5000  0.5000  0.5000
Te  0.5000  0.5000  0.0000
N  0.0000  0.5000  0.5000
N  0.5000  0.0000  0.5000

Computed properties:
offset from the most stable computed form: 0 meV per atom
symmetry: P4/mmm, No. 123
uncorrected formation energy: -133 kJ/mol of formula units
Fermi-level density of states: 0.215 states/eV per atom
size of the total moment: 0.8 μB per cell
ρ: 4781 kg/m³

=====

Entry from Alexandria: a relaxed structure of Ca3Th3NbN8 (PBE).

Unit cell a=7.0332 b=7.0332 c=7.0332 alpha=60.75 beta=60.75 gamma=60.75
Sites, in units of the cell vectors:
Ca  0.0000  0.5000  0.5000
Ca  0.5000  0.0000  0.5000
Ca  0.5000  0.5000  0.0000
Th  0.0000  0.0000  0.5000
Th  0.0000  0.5000  0.0000
Th  0.5000  0.0000  0.0000
Nb  0.5000  0.5000  0.5000
N  0.2433  0.2433  0.2433
N  0.2694  0.7160  0.7160
N  0.2840  0.2840  0.7306
N  0.2840  0.7306  0.2840
N  0.7160  0.2694  0.7160
N  0.7160  0.7160  0.2694
N  0.7306  0.2840  0.2840
N  0.7567  0.7567  0.7567

Computed properties:
symmetry: R-3m, No. 166
uncorrected formation energy: -1749 kJ/mol of formula units
Fermi-level density of states: 0.510 states/eV per atom
size of the total moment: 0.0 μB per cell
ρ: 6779 kg/m³

=====

Entry from Alexandria: a relaxed structure of Ca2ThNbN4 (PBE).

Unit cell a=5.9796 b=3.4266 c=5.9875 alpha=90.00 beta=108.92 gamma=90.00
Sites, in units of the cell vectors:
Ca  0.0000  0.0000  0.0000
Ca  0.0000  0.5000  0.5000
Th  0.5000  0.0000  0.5000
Nb  0.5000  0.5000  0.0000
N  0.2818  0.0000  0.7757
N  0.2828  0.5000  0.2283
N  0.7172  0.5000  0.7717
N  0.7182  0.0000  0.2243

Computed properties:
symmetry: P2/m, No. 10
uncorrected formation energy: -926 kJ/mol of formula units
Fermi-level density of states: 0.292 states/eV per atom
size of the total moment: 0.0 μB per cell
ρ: 6598 kg/m³

=====

Entry from Alexandria: a relaxed structure of Ca3UNb3N8 (PBE).

Unit cell a=6.7773 b=6.7773 c=6.7773 alpha=57.00 beta=57.00 gamma=57.00
Sites, in units of the cell vectors:
Ca  0.0000  0.5000  0.5000
Ca  0.5000  0.0000  0.5000
Ca  0.5000  0.5000  0.0000
U  0.5000  0.5000  0.5000
Nb  0.0000  0.0000  0.5000
Nb  0.0000  0.5000  0.0000
Nb  0.5000  0.0000  0.0000
N  0.2332  0.7332  0.7332
N  0.2404  0.2404  0.2404
N  0.2668  0.2668  0.7668
N  0.2668  0.7668  0.2668
N  0.7332  0.2332  0.7332
N  0.7332  0.7332  0.2332
N  0.7596  0.7596  0.7596
N  0.7668  0.2668  0.2668

Computed properties:
symmetry: R-3m, No. 166
uncorrected formation energy: -1588 kJ/mol of formula units
Fermi-level density of states: 0.441 states/eV per atom
size of the total moment: 0.0 μB per cell
ρ: 6070 kg/m³